(1)
# AcCoNiH6 GGA-PBE relaxed
# **Crystal system**: hexagonal
# **Total energy**: -40.391 eV for the cell shown
data_AcCoNiH6
_chemical_formula_sum 'Ac1 Co1 Ni1 H6'
_cell_length_a 4.5885
_cell_length_b 4.5885
_cell_length_c 4.4614
_cell_angle_alpha 90.00
_cell_angle_beta 90.00
_cell_angle_gamma 120.00
_symmetry_space_group_name_H-M 'P -6 m 2'
_symmetry_Int_Tables_number 187
_symmetry_space_group_name_Hall 'P -6 2'
loop_
_atom_site_label
_atom_site_fract_x
_atom_site_fract_y
_atom_site_fract_z
_atom_site_occupancy
Ac1 0.0000 0.0000 0.0000 1
Co1 0.6667 0.3333 0.5000 1
Ni1 0.3333 0.6667 0.5000 1
H1 0.5046 0.0092 0.2768 1

(2)
# TmTlPb2Cl8 GGA-PBE relaxed
# **Crystal system**: monoclinic
# **Energy relative to the elements, uncorrected**: -1.501 eV/atom
data_TmTlPb2Cl8
_chemical_formula_sum 'Tm1 Tl1 Pb2 Cl8'
_cell_length_a 6.5381
_cell_length_b 8.9222
_cell_length_c 6.8348
_cell_angle_alpha 90.00
_cell_angle_beta 90.93
_cell_angle_gamma 90.00
_symmetry_space_group_name_H-M 'P 1 2/m 1'
_symmetry_Int_Tables_number 10
loop_
_symmetry_equiv_pos_as_xyz
'x,y,z'
'-x,-y,-z'
'-x,y,-z'
'x,-y,z'
loop_
_atom_site_label
_atom_site_fract_x
_atom_site_fract_y
_atom_site_fract_z
_atom_site_occupancy
Tm1 0.0000 0.0000 0.0000 1
Tl1 0.0000 0.5000 0.0000 1
Pb1 0.5000 0.2490 0.5000 1
Cl1 0.2285 0.2093 0.1583 1
Cl2 0.2409 0.0000 0.6916 1
Cl3 0.2756 0.5000 0.6314 1

(3)
# SbP2OsRh GGA-PBE relaxed
# **Crystal system**: tetragonal
# **Energy relative to the elements, uncorrected**: 0.807 eV/atom
data_SbP2OsRh
_chemical_formula_sum 'Sb1 P2 Os1 Rh1'
_cell_length_a 4.4031
_cell_length_b 4.4031
_cell_length_c 5.5849
_cell_angle_alpha 90.00
_cell_angle_beta 90.00
_cell_angle_gamma 90.00
_symmetry_space_group_name_H-M 'P 4/m m m'
_symmetry_Int_Tables_number 123
_symmetry_space_group_name_Hall '-P 4 2'
loop_
_atom_site_label
_atom_site_fract_x
_atom_site_fract_y
_atom_site_fract_z
_atom_site_occupancy
Sb1 0.0000 0.0000 0.0000 1
P1 0.0000 0.5000 0.5000 1
Os1 0.0000 0.0000 0.5000 1
Rh1 0.5000 0.5000 0.0000 1

Total moment values, unit μB per atom, following the record order: 0.07; 0.00; 0.00.
DOS at the Fermi energy values, unit states/eV/atom, following the record order: 0.633; 0.000; 0.602.